[1]
Computed, not measured: a relaxed structure of RbCa2OsRu at the PBE level of DFT.

```
RbCa2OsRu
1.0
5.6603 0.0000 0.0000
0.0000 5.6603 0.0000
0.0000 0.0000 4.7331
Rb Ca Os Ru
1 2 1 1
Direct
0.0000 0.0000 0.0000
0.0000 0.5000 0.5000
0.5000 0.0000 0.5000
0.5000 0.5000 0.5000
0.5000 0.5000 0.0000
```

Summary:
theoretical density	5.0	g/cm³

---

[2]
Computed, not measured: a relaxed structure of RbSrCa2Os at the PBE level of DFT.

```
RbSrCa2Os
1.0
5.9931 0.0000 0.0000
0.0000 5.9931 0.0000
0.0000 0.0000 5.8592
Rb Sr Ca Os
1 1 2 1
Direct
0.0000 0.0000 0.0000
0.0000 0.0000 0.5000
0.0000 0.5000 0.5000
0.5000 0.0000 0.5000
0.5000 0.5000 0.0000
```

Summary:
theoretical density	3.5	g/cm³

---

[3]
Computed, not measured: a relaxed structure of RbCaY2Os at the PBE level of DFT.

```
RbCaY2Os
1.0
5.9004 0.0000 0.0000
0.0000 5.9004 0.0000
0.0000 0.0000 4.9386
Rb Ca Y Os
1 1 2 1
Direct
0.0000 0.0000 0.0000
0.5000 0.5000 0.5000
0.0000 0.5000 0.5000
0.5000 0.0000 0.5000
0.5000 0.5000 0.0000
```

Summary:
theoretical density	4.8	g/cm³

---

[4]
Computed, not measured: a relaxed structure of CaRe2Os at the PBE level of DFT.

```
CaRe2Os
1.0
-3.8077 3.8077 2.6995
3.8077 -3.8077 2.6995
3.8077 3.8077 -2.6995
Ca Re Os
2 4 2
Direct
0.0000 0.0000 0.0000
0.7500 0.2500 0.5000
0.1859 0.6250 0.0609
0.3750 0.4359 0.5609
0.5641 0.1250 0.9391
0.8750 0.8141 0.4391
0.2500 0.7500 0.5000
0.5000 0.5000 0.0000
```

Summary:
theoretical density	12.8	g/cm³
energy relative to the lowest polymorph listed for this composition	496	meV/atom

---

[5]
Computed, not measured: a relaxed structure of Ca2ReOs at the PBE level of DFT.

```
Ca2ReOs
1.0
1.4828 0.8561 9.9350
-1.4828 0.8561 9.9350
0.0000 -1.7122 9.9350
Ca Re Os
2 1 1
Direct
0.2471 0.2471 0.2471
0.7529 0.7529 0.7529
0.0000 0.0000 0.0000
0.5000 0.5000 0.5000
```

Summary:
theoretical density	10.0	g/cm³
energy relative to the lowest polymorph listed for this composition	723	meV/atom

---

[6]
Computed, not measured: a relaxed structure of CaRe2Os2 at the PBE level of DFT.

```
CaRe2Os2
1.0
7.8682 0.0000 0.0000
0.0000 7.8682 0.0000
0.0000 0.0000 2.7443
Ca Re Os
2 4 4
Direct
0.0000 0.0000 0.0000
0.5000 0.5000 0.0000
0.1192 0.3808 0.0000
0.3808 0.8808 0.0000
0.6192 0.1192 0.0000
0.8808 0.6192 0.0000
0.1688 0.6688 0.5000
0.3312 0.1688 0.5000
0.6688 0.8312 0.5000
0.8312 0.3312 0.5000
```

Summary:
theoretical density	15.5	g/cm³
energy relative to the lowest polymorph listed for this composition	6	meV/atom

---

[7]
Computed, not measured: a relaxed structure of CaReOs2 at the PBE level of DFT.

```
CaReOs2
1.0
4.6499 -1.4071 0.0000
4.6499 1.4071 0.0000
-1.0122 0.0000 5.4815
Ca Re Os
1 1 2
Direct
0.0000 0.0000 0.0000
0.5000 0.5000 0.5000
0.2313 0.2313 0.6846
0.7687 0.7687 0.3154
```

Summary:
theoretical density	14.0	g/cm³
energy relative to the lowest polymorph listed for this composition	172	meV/atom

---

[8]
Computed, not measured: a relaxed structure of CaRe4Os at the PBE level of DFT.

```
CaRe4Os
1.0
0.0000 3.7050 3.7050
3.7050 0.0000 3.7050
3.7050 3.7050 0.0000
Ca Re Os
1 4 1
Direct
0.0000 0.0000 0.0000
0.3741 0.3741 0.3741
0.3741 0.3741 0.8777
0.3741 0.8777 0.3741
0.8777 0.3741 0.3741
0.7500 0.7500 0.7500
```

Summary:
theoretical density	15.9	g/cm³

---

[9]
Computed, not measured: a relaxed structure of CaRe2Os at the PBE level of DFT.

```
CaRe2Os
1.0
1.5270 -2.2980 0.0000
1.5270 2.2980 0.0000
0.0000 0.0000 9.4818
Ca Re Os
1 2 1
Direct
0.0000 0.0000 0.0000
0.0000 0.0000 0.4940
0.5000 0.5000 0.7234
0.5000 0.5000 0.2633
```

Summary:
theoretical density	15.0	g/cm³
energy relative to the lowest polymorph listed for this composition	187	meV/atom

---

[10]
Computed, not measured: a relaxed structure of CaReOs2 at the PBE level of DFT.

```
CaReOs2
1.0
2.8930 0.0000 0.0000
0.0000 2.8930 0.0000
0.0000 0.0000 8.1617
Ca Re Os
1 1 2
Direct
0.0000 0.0000 0.0000
0.0000 0.0000 0.5000
0.5000 0.5000 0.2890
0.5000 0.5000 0.7110
```

Summary:
theoretical density	14.7	g/cm³
energy relative to the lowest polymorph listed for this composition	0	meV/atom

---

[11]
Computed, not measured: a relaxed structure of CaReOs2 at the PBE level of DFT.

```
CaReOs2
1.0
2.8607 0.0000 0.0000
0.0000 4.3717 0.0000
-1.3986 0.0000 5.5170
Ca Re Os
1 1 2
Direct
0.0000 0.0000 0.0000
0.3601 0.5000 0.7192
0.2567 0.0000 0.5027
0.6582 0.5000 0.3060
```

Summary:
theoretical density	14.6	g/cm³
energy relative to the lowest polymorph listed for this composition	241	meV/atom

---

[12]
Computed, not measured: a relaxed structure of Ca2ReOs at the PBE level of DFT.

```
Ca2ReOs
1.0
2.7834 -4.9079 0.0000
2.7834 4.9079 0.0000
-0.7185 0.0000 2.7620
Ca Re Os
2 1 1
Direct
0.0000 0.5000 0.0000
0.5000 0.0000 0.0000
0.0000 0.0000 0.5000
0.5000 0.5000 0.5000
```

Summary:
theoretical density	10.0	g/cm³
energy relative to the lowest polymorph listed for this composition	642	meV/atom

---

These records have formation energy values of 0.59, 2.23, 1.45, 0.94, 0.87, 0.18, 0.55, 0.50, 0.63, 0.38, 0.62, 0.79 eV/atom, in the order they appear.